DFT (GGA-PBE) results for K2BeCr after structural relaxation.

Geometry as POSCAR:
```
K2BeCr
1.0
7.350 0.000 0.000
0.000 4.229 0.000
-2.255 0.000 9.338
K Be Cr
4 2 2
Cartesian
0.000 0.000 0.000 K
-0.002 0.000 5.077 K
3.675 2.115 0.000 K
3.673 2.115 5.077 K
1.218 2.115 2.538 Be
4.893 0.000 2.538 Be
2.447 0.000 2.538 Cr
6.122 2.115 2.538 Cr
```

---

DFT (GGA-PBE) results for Mn3Cr after structural relaxation.

Geometry as POSCAR:
```
Mn3Cr
1.0
2.662 0.000 0.000
0.000 2.676 0.000
0.000 0.000 7.100
Mn Cr
3 1
Cartesian
0.000 0.000 0.000 Mn
0.000 1.338 2.004 Mn
1.331 1.338 5.497 Mn
1.331 0.000 3.543 Cr
```

---

DFT (GGA-PBE) results for TcPd5Pt2 after structural relaxation.

Geometry as POSCAR:
```
TcPd5Pt2
1.0
5.585 0.000 0.000
0.000 11.155 0.000
0.000 0.000 3.914
Tc Pd Pt
2 10 4
Cartesian
0.000 0.000 0.000 Tc
2.793 5.578 0.000 Tc
0.000 5.578 0.000 Pd
0.011 2.744 0.000 Pd
1.399 1.389 1.957 Pd
1.394 6.967 1.957 Pd
2.782 8.322 0.000 Pd
2.793 0.000 0.000 Pd
2.803 2.834 0.000 Pd
4.191 4.189 1.957 Pd
4.187 9.767 1.957 Pd
5.575 8.412 0.000 Pd
1.351 9.820 1.957 Pt
1.442 4.242 1.957 Pt
4.143 6.913 1.957 Pt
4.235 1.336 1.957 Pt
```

---

no.,E_form (meV per atom)
1,817
2,428
3,-31